# Rb2HPdI6 (PBE, relaxed)
# Energy ... -24.67 eV/cell
data_Rb2HPdI6
_space_group_name_H-M_alt 'P 1'
_space_group_IT_number 1
_cell_length_a 7.608
_cell_length_b 7.608
_cell_length_c 8.213
_cell_angle_alpha 62.41
_cell_angle_beta 62.41
_cell_angle_gamma 90.00
loop_
_space_group_symop_operation_xyz
'x,y,z'
loop_
_atom_site_label
_atom_site_fract_x
_atom_site_fract_y
_atom_site_fract_z
I1 0.260 0.740 0.000
I2 0.260 0.260 0.000
I3 0.740 0.260 0.000
I4 0.740 0.740 0.000
I5 0.217 0.217 0.566
I6 0.783 0.783 0.434
Rb1 0.250 0.750 0.500
Rb2 0.750 0.250 0.500
H1 0.500 0.500 0.000
Pd1 0.000 0.000 0.000



# Ba2LiAl (PBE, relaxed)
# ΔE_f ... -0.016 eV per atom
data_Ba2LiAl
_space_group_name_H-M_alt 'P 1'
_space_group_IT_number 1
_cell_length_a 5.953
_cell_length_b 5.953
_cell_length_c 4.266
_cell_angle_alpha 89.98
_cell_angle_beta 89.98
_cell_angle_gamma 90.13
loop_
_space_group_symop_operation_xyz
'x,y,z'
loop_
_atom_site_label
_atom_site_fract_x
_atom_site_fract_y
_atom_site_fract_z
Li1 0.500 0.000 0.500
Ba1 0.500 0.500 0.000
Ba2 0.000 0.000 0.000
Al1 0.000 0.500 0.500



# Tm4TlAg2 (PBE, relaxed)
# ΔE_f ... -0.027 eV per atom
data_Tm4TlAg2
_space_group_name_H-M_alt 'P 1'
_space_group_IT_number 1
_cell_length_a 4.865
_cell_length_b 4.865
_cell_length_c 10.068
_cell_angle_alpha 76.02
_cell_angle_beta 76.02
_cell_angle_gamma 60.00
loop_
_space_group_symop_operation_xyz
'x,y,z'
loop_
_atom_site_label
_atom_site_fract_x
_atom_site_fract_y
_atom_site_fract_z
Tm1 0.203 0.203 0.391
Tm2 0.619 0.619 0.142
Tm3 0.797 0.797 0.609
Tm4 0.381 0.381 0.858
Tl1 0.000 0.000 0.000
Ag1 0.899 0.899 0.303
Ag2 0.101 0.101 0.697



# CeHoSe (PBE, relaxed)
# Energy ... -16.61 eV/cell
data_CeHoSe
_space_group_name_H-M_alt 'P 1'
_space_group_IT_number 1
_cell_length_a 3.593
_cell_length_b 3.593
_cell_length_c 6.757
_cell_angle_alpha 105.42
_cell_angle_beta 105.42
_cell_angle_gamma 90.00
loop_
_space_group_symop_operation_xyz
'x,y,z'
loop_
_atom_site_label
_atom_site_fract_x
_atom_site_fract_y
_atom_site_fract_z
Se1 0.329 0.329 0.658
Ho1 0.695 0.695 0.389
Ce1 0.977 0.977 0.953



# Hf2VCrCl (PBE, relaxed)
# Energy ... -37.14 eV/cell
data_Hf2VCrCl
_space_group_name_H-M_alt 'P 1'
_space_group_IT_number 1
_cell_length_a 5.094
_cell_length_b 4.028
_cell_length_c 5.094
_cell_angle_alpha 90.00
_cell_angle_beta 90.00
_cell_angle_gamma 90.00
loop_
_space_group_symop_operation_xyz
'x,y,z'
loop_
_atom_site_label
_atom_site_fract_x
_atom_site_fract_y
_atom_site_fract_z
Cr1 0.000 0.000 0.000
Hf1 0.500 0.000 0.000
Hf2 0.000 0.000 0.500
Cl1 0.500 0.500 0.500
V1 0.000 0.500 0.000



# Ti4MoRh3 (PBE, relaxed)
# ΔE_f ... -0.647 eV per atom
data_Ti4MoRh3
_space_group_name_H-M_alt 'P 1'
_space_group_IT_number 1
_cell_length_a 3.148
_cell_length_b 3.148
_cell_length_c 12.270
_cell_angle_alpha 90.00
_cell_angle_beta 90.00
_cell_angle_gamma 90.00
loop_
_space_group_symop_operation_xyz
'x,y,z'
loop_
_atom_site_label
_atom_site_fract_x
_atom_site_fract_y
_atom_site_fract_z
Rh1 0.500 0.500 0.500
Rh2 0.500 0.500 0.257
Rh3 0.500 0.500 0.743
Ti1 0.000 0.000 0.123
Ti2 0.000 0.000 0.625
Ti3 0.000 0.000 0.877
Ti4 0.000 0.000 0.375
Mo1 0.500 0.500 0.000



# TlCu3Pd (PBE, relaxed)
# ΔE_f ... 0.638 eV per atom
data_TlCu3Pd
_space_group_name_H-M_alt 'P 1'
_space_group_IT_number 1
_cell_length_a 4.747
_cell_length_b 4.747
_cell_length_c 4.747
_cell_angle_alpha 90.00
_cell_angle_beta 90.00
_cell_angle_gamma 90.00
loop_
_space_group_symop_operation_xyz
'x,y,z'
loop_
_atom_site_label
_atom_site_fract_x
_atom_site_fract_y
_atom_site_fract_z
Pd1 0.000 0.000 0.000
Tl1 0.500 0.500 0.500
Cu1 0.500 0.000 0.000
Cu2 0.000 0.500 0.000
Cu3 0.000 0.000 0.500



# ZrFe3Te (PBE, relaxed)
# Energy ... -32.32 eV/cell
data_ZrFe3Te
_space_group_name_H-M_alt 'P 1'
_space_group_IT_number 1
_cell_length_a 4.606
_cell_length_b 4.606
_cell_length_c 4.606
_cell_angle_alpha 90.00
_cell_angle_beta 90.00
_cell_angle_gamma 90.00
loop_
_space_group_symop_operation_xyz
'x,y,z'
loop_
_atom_site_label
_atom_site_fract_x
_atom_site_fract_y
_atom_site_fract_z
Fe1 0.500 0.000 0.000
Fe2 0.000 0.000 0.500
Fe3 0.000 0.500 0.000
Te1 0.000 0.000 0.000
Zr1 0.500 0.500 0.500



Copy entry 5 word for word.
# Hf2VCrCl (PBE, relaxed)
# Energy ... -37.14 eV/cell
data_Hf2VCrCl
_space_group_name_H-M_alt 'P 1'
_space_group_IT_number 1
_cell_length_a 5.094
_cell_length_b 4.028
_cell_length_c 5.094
_cell_angle_alpha 90.00
_cell_angle_beta 90.00
_cell_angle_gamma 90.00
loop_
_space_group_symop_operation_xyz
'x,y,z'
loop_
_atom_site_label
_atom_site_fract_x
_atom_site_fract_y
_atom_site_fract_z
Cr1 0.000 0.000 0.000
Hf1 0.500 0.000 0.000
Hf2 0.000 0.000 0.500
Cl1 0.500 0.500 0.500
V1 0.000 0.500 0.000